Run one
First-principles (GGA-PBE) data for a relaxed structure of Tl3ICl6, as listed in Alexandria.

```
Tl3ICl6
1.0
-7.609 -2.557 -1.587
3.524 -7.239 -5.232
-0.670 -3.533 8.903
Cl Tl I
12 6 2
Direct
0.779 0.853 0.458 Cl
0.627 0.599 0.702 Cl
0.127 0.702 0.599 Cl
0.279 0.147 0.542 Cl
0.279 0.458 0.853 Cl
0.127 0.401 0.298 Cl
0.211 0.060 0.940 Cl
0.779 0.542 0.147 Cl
0.627 0.298 0.401 Cl
0.711 0.940 0.060 Cl
0.138 0.794 0.206 Cl
0.638 0.206 0.794 Cl
0.950 0.655 0.892 Tl
0.972 0.641 0.359 Tl
0.450 0.892 0.655 Tl
0.950 0.108 0.345 Tl
0.450 0.345 0.108 Tl
0.472 0.359 0.641 Tl
0.450 0.860 0.140 I
0.950 0.140 0.860 I
```

Output
crystal system	orthorhombic

---

Run two
First-principles (GGA-PBE) data for a relaxed structure of Tl3ICl6, as listed in Alexandria.

```
Tl3ICl6
1.0
8.078 0.000 0.000
0.000 9.809 -3.629
0.000 -0.180 10.457
Cl Tl I
12 6 2
Direct
0.748 0.351 0.308 Cl
0.158 0.755 0.245 Cl
0.248 0.649 0.692 Cl
0.689 0.966 0.337 Cl
0.748 0.692 0.649 Cl
0.539 0.023 0.977 Cl
0.039 0.977 0.023 Cl
0.189 0.337 0.966 Cl
0.248 0.308 0.351 Cl
0.689 0.663 0.034 Cl
0.189 0.034 0.663 Cl
0.658 0.245 0.755 Cl
0.465 0.293 0.115 Tl
0.020 0.576 0.424 Tl
0.965 0.115 0.293 Tl
0.465 0.885 0.707 Tl
0.520 0.424 0.576 Tl
0.965 0.707 0.885 Tl
0.463 0.787 0.213 I
0.963 0.213 0.787 I
```

Output
crystal system	orthorhombic

---

What should be chosen as the least stable of them? Choose run two.

---

Run one
First-principles (GGA-PBE) data for a relaxed structure of Tl2I2Cl, as listed in Alexandria.

```
Tl2I2Cl
1.0
4.866 0.000 0.000
0.000 4.866 0.000
2.433 2.433 8.477
Tl I Cl
2 2 1
Direct
0.401 0.401 0.199 Tl
0.599 0.599 0.801 Tl
0.250 0.750 0.500 I
0.750 0.250 0.500 I
0.000 0.000 0.000 Cl
```

Output
crystal system	tetragonal

---

Run two
First-principles (GGA-PBE) data for a relaxed structure of Tl2I2Cl, as listed in Alexandria.

```
Tl2I2Cl
1.0
4.452 0.152 -0.307
0.071 4.453 -0.312
1.583 1.596 19.691
Tl Cl I
4 2 4
Direct
0.274 0.225 0.608 Tl
0.776 0.724 0.391 Tl
0.976 0.525 0.892 Tl
0.474 0.026 0.109 Tl
0.766 0.234 0.500 Cl
0.484 0.516 0.000 Cl
0.810 0.717 0.684 I
0.440 0.033 0.816 I
0.285 0.190 0.316 I
0.965 0.560 0.184 I
```

Output
crystal system	triclinic

---

What should be chosen as the least stable of them? Choose run one.

---

Run one
First-principles (GGA-PBE) data for a relaxed structure of TlICl2, as listed in Alexandria.

```
TlICl2
1.0
0.000 3.935 3.935
3.935 0.000 3.935
3.935 3.935 0.000
Cl I Tl
2 1 1
Direct
0.750 0.750 0.750 Cl
0.250 0.250 0.250 Cl
0.000 0.000 0.000 I
0.500 0.500 0.500 Tl
```

Output
crystal system	cubic

---

Run two
First-principles (GGA-PBE) data for a relaxed structure of TlICl2, as listed in Alexandria.

```
TlICl2
1.0
5.131 0.000 0.000
-2.565 4.443 0.000
0.000 0.000 15.907
Tl Cl I
2 4 2
Direct
0.000 0.000 0.500 Tl
0.000 0.000 0.000 Tl
0.667 0.333 0.912 Cl
0.667 0.333 0.588 Cl
0.333 0.667 0.412 Cl
0.333 0.667 0.088 Cl
0.667 0.333 0.750 I
0.333 0.667 0.250 I
```

Output
crystal system	hexagonal

---

Run three
First-principles (GGA-PBE) data for a relaxed structure of TlICl2, as listed in Alexandria.

```
TlICl2
1.0
2.774 9.946 3.878
4.648 7.753 6.320
6.199 8.621 2.984
I Tl Cl
1 1 2
Direct
0.500 0.500 0.500 I
0.000 0.000 0.000 Tl
0.077 0.077 0.077 Cl
0.923 0.923 0.923 Cl
```

Output
crystal system	trigonal

---

What should be chosen as the least stable of them? Choose run three.